A plane-wave DFT calculation with PBE was carried out for a relaxed La2Pm5Nd2 crystal.

Values from the calculation:
**Space-group type**: Ima2
**DFT total energy**: -4.62 eV per atom

a = 12.1843 Å, b = 6.8999 Å, c = 10.3429 Å
α = 109.48°, β = 126.09°, γ = 90.00°
Closest atoms and distances in Å follow each position.
Fractional positions:
La 0.0000 0.0197 0.0000  4 Pm 3.34-3.67, 2 Nd 3.71
La 0.5000 0.5197 0.0000  4 Pm 3.34-3.67, 2 Nd 3.71
La 0.2535 0.3402 0.5000  4 Pm 3.50-3.66, 2 Nd 3.75, 2 La 3.84
La 0.7465 0.8402 0.5000  4 Pm 3.50-3.66, 2 Nd 3.75, 2 La 3.84
Pm 0.2025 0.6528 0.8922  5 Pm 3.26-3.62, 1 La 3.34, 1 Nd 3.49
Pm 0.7975 0.7606 0.1078  5 Pm 3.26-3.62, 1 La 3.34, 1 Nd 3.49
Pm 0.1898 0.1528 0.8922  5 Pm 3.26-3.62, 1 La 3.34, 1 Nd 3.49
Pm 0.8102 0.2606 0.1078  5 Pm 3.26-3.62, 1 La 3.34, 1 Nd 3.49
Pm 0.3742 0.0338 0.2850  4 Pm 3.26-3.48, 2 Nd 3.45-3.62, 1 La 3.51
Pm 0.6258 0.7488 0.7150  4 Pm 3.26-3.48, 2 Nd 3.45-3.62, 1 La 3.51
Pm 0.4108 0.5338 0.2850  4 Pm 3.26-3.48, 2 Nd 3.45-3.62, 1 La 3.51
Pm 0.5892 0.2488 0.7150  4 Pm 3.26-3.48, 2 Nd 3.45-3.62, 1 La 3.51
Pm 0.0155 0.6630 0.5000  6 Pm 3.31-3.62, 2 La 3.50-3.66, 2 Nd 3.60
Pm 0.9845 0.1630 0.5000  6 Pm 3.31-3.62, 2 La 3.50-3.66, 2 Nd 3.60
Nd 0.1278 0.6837 0.2502  4 Pm 3.45-3.62, 2 La 3.71-3.75, 2 Nd 3.80-3.81
Nd 0.8722 0.4335 0.7498  4 Pm 3.45-3.62, 2 La 3.71-3.75, 2 Nd 3.80-3.81
Nd 0.6224 0.1837 0.2502  4 Pm 3.45-3.62, 2 La 3.71-3.75, 2 Nd 3.80-3.81
Nd 0.3776 0.9335 0.7498  4 Pm 3.45-3.62, 2 La 3.71-3.75, 2 Nd 3.80-3.81

=====

A plane-wave DFT calculation with PBE was carried out for a relaxed La2Pm3Nd3 crystal.

Values from the calculation:
**Space-group type**: C2/m
**DFT total energy**: -4.79 eV per atom

a = 5.2172 Å, b = 5.2171 Å, c = 11.0417 Å
α = 103.76°, β = 103.67°, γ = 90.00°
Closest atoms and distances in Å follow each position.
Fractional positions:
La 0.7500 0.2500 0.5000  4 La 3.69, 4 Pm 3.70-3.71, 4 Nd 3.70-3.71
La 0.2500 0.7500 0.5000  4 La 3.69, 4 Pm 3.70-3.71, 4 Nd 3.70-3.71
Pm 0.1235 0.1235 0.2470  2 Pm 3.66, 6 Nd 3.66-3.69, 4 La 3.70-3.71
Pm 0.0000 0.5000 0.0000  4 Pm 3.66, 8 Nd 3.66-3.69
Pm 0.8765 0.8765 0.7530  2 Pm 3.66, 6 Nd 3.66-3.69, 4 La 3.70-3.71
Nd 0.6235 0.6235 0.2469  2 Nd 3.66, 6 Pm 3.66-3.69, 4 La 3.70-3.71
Nd 0.3765 0.3765 0.7531  2 Nd 3.66, 6 Pm 3.66-3.69, 4 La 3.70-3.71
Nd 0.5000 0.0000 0.0000  4 Nd 3.66, 8 Pm 3.66-3.69

=====

A plane-wave DFT calculation with PBE was carried out for a relaxed La7Pm2Nd3 crystal.

Values from the calculation:
**Space-group type**: P2/m
**DFT total energy**: -4.80 eV per atom

a = 3.6279 Å, b = 6.6231 Å, c = 18.6349 Å
α = 75.10°, β = 90.00°, γ = 90.00°
Closest atoms and distances in Å follow each position.
Fractional positions:
La 0.5000 0.2308 0.5087  2 La 3.16-3.50, 1 Pm 3.42
La 0.5000 0.7692 0.4913  2 La 3.16-3.50, 1 Pm 3.42
La 0.0000 0.5575 0.1670  7 La 3.63-3.80, 2 Pm 3.65, 3 Nd 3.71
La 0.0000 0.0000 0.0000  8 La 3.63-3.75, 4 Nd 3.78
La 0.0000 0.4425 0.8330  7 La 3.63-3.80, 2 Pm 3.65, 3 Nd 3.71
La 0.5000 0.9492 0.8297  1 Pm 3.62, 8 La 3.63-3.80, 3 Nd 3.71-3.75
La 0.5000 0.0508 0.1703  1 Pm 3.62, 8 La 3.63-3.80, 3 Nd 3.71-3.75
Pm 0.5000 0.6080 0.3313  5 La 3.42-3.65, 2 Pm 3.63, 2 Nd 3.71
Pm 0.5000 0.3920 0.6687  5 La 3.42-3.65, 2 Pm 3.63, 2 Nd 3.71
Nd 0.5000 0.5000 0.0000  2 Nd 3.63, 10 La 3.71-3.78
Nd 0.0000 0.1163 0.3365  2 Nd 3.63, 7 La 3.67-3.93, 4 Pm 3.71-3.85
Nd 0.0000 0.8837 0.6635  2 Nd 3.63, 7 La 3.67-3.93, 4 Pm 3.71-3.85

=====

A plane-wave DFT calculation with PBE was carried out for a relaxed LaPm5Nd2 crystal.

Values from the calculation:
**Space-group type**: C2/c
**DFT total energy**: -4.68 eV per atom

a = 6.5158 Å, b = 12.3121 Å, c = 15.0723 Å
α = 92.35°, β = 77.52°, γ = 74.66°
Closest atoms and distances in Å follow each position.
Fractional positions:
La 0.8460 0.1152 0.3860  10 Pm 3.46-3.85, 2 Nd 3.52-3.55
La 0.3472 0.3848 0.1140  10 Pm 3.46-3.85, 2 Nd 3.52-3.55
La 0.6528 0.6152 0.8860  10 Pm 3.46-3.85, 2 Nd 3.52-3.55
La 0.1540 0.8848 0.6140  10 Pm 3.46-3.85, 2 Nd 3.52-3.55
Pm 0.1972 0.9966 0.1648  4 Nd 3.51-3.88, 6 Pm 3.57-3.79, 1 La 3.61
Pm 0.2942 0.0877 0.4806  4 Pm 3.15-3.47, 2 La 3.46
Pm 0.7952 0.1818 0.6387  5 Pm 3.47-3.76, 2 Nd 3.65-3.73, 2 La 3.74-3.79
Pm 0.3745 0.1964 0.2855  2 Pm 3.28-3.57, 3 Nd 3.52-3.65, 2 La 3.54-3.64
Pm 0.8564 0.3036 0.2145  2 Pm 3.28-3.57, 3 Nd 3.52-3.65, 2 La 3.54-3.64
Pm 0.2655 0.1614 0.9678  4 Pm 3.42-3.68, 4 Nd 3.46-3.62, 1 La 3.67
Pm 0.3947 0.3386 0.5322  4 Pm 3.42-3.68, 4 Nd 3.46-3.62, 1 La 3.67
Pm 0.3587 0.5034 0.3352  4 Nd 3.51-3.88, 6 Pm 3.57-3.79, 1 La 3.61
Pm 0.1374 0.5877 0.9806  4 Pm 3.15-3.47, 2 La 3.46
Pm 0.6157 0.3182 0.8613  5 Pm 3.47-3.76, 2 Nd 3.65-3.73, 2 La 3.74-3.79
Pm 0.3843 0.6818 0.1387  5 Pm 3.47-3.76, 2 Nd 3.65-3.73, 2 La 3.74-3.79
Pm 0.8626 0.4123 0.0194  4 Pm 3.15-3.47, 2 La 3.46
Pm 0.6413 0.4966 0.6648  4 Nd 3.51-3.88, 6 Pm 3.57-3.79, 1 La 3.61
Pm 0.6053 0.6614 0.4678  4 Pm 3.42-3.68, 4 Nd 3.46-3.62, 1 La 3.67
Pm 0.7345 0.8386 0.0322  4 Pm 3.42-3.68, 4 Nd 3.46-3.62, 1 La 3.67
Pm 0.1436 0.6964 0.7855  2 Pm 3.28-3.57, 3 Nd 3.52-3.65, 2 La 3.54-3.64
Pm 0.6255 0.8036 0.7145  2 Pm 3.28-3.57, 3 Nd 3.52-3.65, 2 La 3.54-3.64
Pm 0.2048 0.8182 0.3613  5 Pm 3.47-3.76, 2 Nd 3.65-3.73, 2 La 3.74-3.79
Pm 0.7058 0.9123 0.5194  4 Pm 3.15-3.47, 2 La 3.46
Pm 0.8028 0.0034 0.8352  4 Nd 3.51-3.88, 6 Pm 3.57-3.79, 1 La 3.61
Nd 0.2994 0.0974 0.7288  1 La 3.52, 8 Pm 3.60-3.88, 1 Nd 3.61
Nd 0.7467 0.1172 0.0596  7 Pm 3.46-3.65, 1 La 3.55, 1 Nd 3.80
Nd 0.9234 0.3828 0.4404  7 Pm 3.46-3.65, 1 La 3.55, 1 Nd 3.80
Nd 0.8745 0.5974 0.2288  1 La 3.52, 8 Pm 3.60-3.88, 1 Nd 3.61
Nd 0.1255 0.4026 0.7712  1 La 3.52, 8 Pm 3.60-3.88, 1 Nd 3.61
Nd 0.0766 0.6172 0.5596  7 Pm 3.46-3.65, 1 La 3.55, 1 Nd 3.80
Nd 0.2533 0.8828 0.9404  7 Pm 3.46-3.65, 1 La 3.55, 1 Nd 3.80
Nd 0.7006 0.9026 0.2712  1 La 3.52, 8 Pm 3.60-3.88, 1 Nd 3.61

=====

A plane-wave DFT calculation with PBE was carried out for a relaxed La7Pm4Nd crystal.

Values from the calculation:
**Space-group type**: C2/m
**DFT total energy**: -4.67 eV per atom

a = 6.1663 Å, b = 9.9589 Å, c = 8.8765 Å
α = 60.74°, β = 69.68°, γ = 71.97°
Closest atoms and distances in Å follow each position.
Fractional positions:
La 0.7913 0.8752 0.5422  3 La 3.30-3.66
La 0.2087 0.1248 0.4578  3 La 3.30-3.66
La 0.0821 0.5633 0.2725  3 La 3.45-3.76, 5 Pm 3.53-3.86, 1 Nd 3.77
La 0.9179 0.4367 0.7275  3 La 3.45-3.76, 5 Pm 3.53-3.86, 1 Nd 3.77
La 0.2074 0.7808 0.8043  1 Nd 3.14, 1 La 3.30, 2 Pm 3.32-3.37
La 0.5000 0.0000 0.0000  2 Nd 3.08
La 0.7926 0.2192 0.1957  1 Nd 3.14, 1 La 3.30, 2 Pm 3.32-3.37
Pm 0.5734 0.3014 0.5519  4 La 3.37-3.75, 2 Pm 3.48-3.77
Pm 0.4266 0.6986 0.4481  4 La 3.37-3.75, 2 Pm 3.48-3.77
Pm 0.6719 0.6050 0.0511  7 La 3.32-3.68
Pm 0.3281 0.3950 0.9489  7 La 3.32-3.68
Nd 0.0000 0.0000 0.0000  4 La 3.08-3.14

=====

A plane-wave DFT calculation with PBE was carried out for a relaxed La4Pm5Nd3 crystal.

Values from the calculation:
**Space-group type**: P-1
**DFT total energy**: -4.80 eV per atom

a = 7.3564 Å, b = 11.6920 Å, c = 13.3370 Å
α = 151.30°, β = 56.34°, γ = 129.25°
Closest atoms and distances in Å follow each position.
Fractional positions:
La 0.9170 0.8353 0.6669  4 Nd 3.66-3.72, 5 Pm 3.68-3.71, 3 La 3.70-3.72
La 0.8325 0.6656 0.8331  5 Pm 3.68-3.70, 3 Nd 3.69-3.70, 4 La 3.70-3.72
La 0.1675 0.3344 0.1669  5 Pm 3.68-3.70, 3 Nd 3.69-3.70, 4 La 3.70-3.72
La 0.0830 0.1647 0.3331  4 Nd 3.66-3.72, 5 Pm 3.68-3.71, 3 La 3.70-3.72
Pm 0.3318 0.6658 0.8343  3 Pm 3.67-3.71, 5 La 3.68-3.71, 4 Nd 3.68-3.72
Pm 0.5000 0.0000 0.5000  4 Nd 3.68-3.69, 4 La 3.68-3.69, 4 Pm 3.69-3.71
Pm 0.7513 0.4987 0.9987  6 Pm 3.66-3.71, 3 Nd 3.68-3.69, 3 La 3.68-3.70
Pm 0.2487 0.5013 0.0013  6 Pm 3.66-3.71, 3 Nd 3.68-3.69, 3 La 3.68-3.70
Pm 0.6682 0.3342 0.1657  3 Pm 3.67-3.71, 5 La 3.68-3.71, 4 Nd 3.68-3.72
Nd 0.5816 0.1647 0.3326  6 La 3.66-3.72, 5 Pm 3.68-3.72, 1 Nd 3.68
Nd 0.0000 0.0000 0.5000  2 Nd 3.68, 8 Pm 3.68-3.69, 2 La 3.68
Nd 0.4184 0.8353 0.6674  6 La 3.66-3.72, 5 Pm 3.68-3.72, 1 Nd 3.68

=====

A plane-wave DFT calculation with PBE was carried out for a relaxed La2Pm2Nd5 crystal.

Values from the calculation:
**Space-group type**: Ima2
**DFT total energy**: -4.63 eV per atom

a = 12.1924 Å, b = 6.9350 Å, c = 10.3604 Å
α = 109.55°, β = 126.04°, γ = 90.00°
Closest atoms and distances in Å follow each position.
Fractional positions:
La 0.0000 0.0207 0.0000  4 Nd 3.35-3.68, 2 Pm 3.73
La 0.5000 0.5207 0.0000  4 Nd 3.35-3.68, 2 Pm 3.73
La 0.2534 0.3386 0.5000  4 Nd 3.50-3.67, 2 Pm 3.78, 2 La 3.84
La 0.7466 0.8386 0.5000  4 Nd 3.50-3.67, 2 Pm 3.78, 2 La 3.84
Pm 0.1283 0.6831 0.2497  4 Nd 3.44-3.62, 2 La 3.73-3.78, 2 Pm 3.81-3.82
Pm 0.8717 0.4334 0.7503  4 Nd 3.44-3.62, 2 La 3.73-3.78, 2 Pm 3.81-3.82
Pm 0.6214 0.1831 0.2497  4 Nd 3.44-3.62, 2 La 3.73-3.78, 2 Pm 3.81-3.82
Pm 0.3786 0.9334 0.7503  4 Nd 3.44-3.62, 2 La 3.73-3.78, 2 Pm 3.81-3.82
Nd 0.2020 0.6545 0.8919  5 Nd 3.26-3.63, 1 La 3.35, 1 Pm 3.50
Nd 0.7980 0.7626 0.1081  5 Nd 3.27-3.63, 1 La 3.35, 1 Pm 3.50
Nd 0.1899 0.1545 0.8919  5 Nd 3.26-3.63, 1 La 3.35, 1 Pm 3.50
Nd 0.8101 0.2626 0.1081  5 Nd 3.26-3.63, 1 La 3.35, 1 Pm 3.50
Nd 0.3744 0.0322 0.2852  4 Nd 3.26-3.50, 2 Pm 3.44-3.62, 1 La 3.51
Nd 0.6256 0.7469 0.7148  4 Nd 3.27-3.50, 2 Pm 3.44-3.62, 1 La 3.51
Nd 0.4108 0.5322 0.2852  4 Nd 3.26-3.50, 2 Pm 3.44-3.62, 1 La 3.51
Nd 0.5892 0.2469 0.7148  4 Nd 3.26-3.50, 2 Pm 3.44-3.62, 1 La 3.51
Nd 0.0164 0.6641 0.5000  6 Nd 3.31-3.63, 2 La 3.50-3.67, 2 Pm 3.61
Nd 0.9836 0.1641 0.5000  6 Nd 3.31-3.63, 2 La 3.50-3.67, 2 Pm 3.61

=====

A plane-wave DFT calculation with PBE was carried out for a relaxed La2Pm8Nd crystal.

Values from the calculation:
**Space-group type**: C2/m
**DFT total energy**: -4.77 eV per atom

a = 5.1995 Å, b = 8.2186 Å, c = 9.7081 Å
α = 104.73°, β = 105.53°, γ = 90.00°
Closest atoms and distances in Å follow each position.
Fractional positions:
La 0.2273 0.6365 0.4545  10 Pm 3.67-3.70, 2 La 3.68
La 0.7727 0.3635 0.5455  10 Pm 3.67-3.70, 2 La 3.68
Pm 0.5901 0.4544 0.1802  8 Pm 3.64-3.69, 1 Nd 3.67, 3 La 3.68-3.69
Pm 0.3186 0.0926 0.6372  8 Pm 3.66-3.69, 1 Nd 3.67, 3 La 3.67-3.69
Pm 0.1356 0.1785 0.2712  7 Pm 3.65-3.69, 2 Nd 3.66, 3 La 3.69-3.70
Pm 0.0444 0.7271 0.0888  9 Pm 3.65-3.68, 2 Nd 3.67, 1 La 3.69
Pm 0.8644 0.8215 0.7288  7 Pm 3.65-3.69, 2 Nd 3.66, 3 La 3.69-3.70
Pm 0.6814 0.9074 0.3628  8 Pm 3.66-3.69, 1 Nd 3.67, 3 La 3.67-3.69
Pm 0.4099 0.5456 0.8198  8 Pm 3.64-3.69, 1 Nd 3.67, 3 La 3.68-3.69
Pm 0.9556 0.2729 0.9112  9 Pm 3.65-3.68, 2 Nd 3.67, 1 La 3.69
Nd 0.5000 0.0000 0.0000  12 Pm 3.66-3.67

=====

A plane-wave DFT calculation with PBE was carried out for a relaxed LaPm4Nd15 crystal.

Values from the calculation:
**Space-group type**: P4/mmm
**DFT total energy**: -4.76 eV per atom

a = 5.2111 Å, b = 5.2111 Å, c = 26.0031 Å
α = 90.00°, β = 90.00°, γ = 90.00°
Closest atoms and distances in Å follow each position.
Fractional positions:
La 0.0000 0.0000 0.0000  12 Nd 3.68-3.70
Pm 0.0000 0.0000 0.2005  12 Nd 3.67-3.68
Pm 0.0000 0.0000 0.4002  12 Nd 3.68
Pm 0.0000 0.0000 0.5998  12 Nd 3.68
Pm 0.0000 0.0000 0.7995  12 Nd 3.67-3.68
Nd 0.5000 0.5000 0.0000  4 La 3.68, 8 Nd 3.70
Nd 0.5000 0.5000 0.2012  8 Nd 3.67-3.68, 4 Pm 3.68
Nd 0.5000 0.5000 0.4002  8 Nd 3.68, 4 Pm 3.68
Nd 0.5000 0.5000 0.5998  8 Nd 3.68, 4 Pm 3.68
Nd 0.5000 0.5000 0.7988  8 Nd 3.67-3.68, 4 Pm 3.68
Nd 0.5000 0.0000 0.1012  2 Pm 3.67, 8 Nd 3.68-3.70, 2 La 3.70
Nd 0.5000 0.0000 0.3004  8 Nd 3.67-3.68, 4 Pm 3.68
Nd 0.5000 0.0000 0.5000  4 Pm 3.68, 8 Nd 3.68
Nd 0.5000 0.0000 0.6996  8 Nd 3.67-3.68, 4 Pm 3.68
Nd 0.5000 0.0000 0.8988  2 Pm 3.67, 8 Nd 3.68-3.70, 2 La 3.70
Nd 0.0000 0.5000 0.1012  2 Pm 3.67, 8 Nd 3.68-3.70, 2 La 3.70
Nd 0.0000 0.5000 0.3004  8 Nd 3.67-3.68, 4 Pm 3.68
Nd 0.0000 0.5000 0.5000  4 Pm 3.68, 8 Nd 3.68
Nd 0.0000 0.5000 0.6996  8 Nd 3.67-3.68, 4 Pm 3.68
Nd 0.0000 0.5000 0.8988  2 Pm 3.67, 8 Nd 3.68-3.70, 2 La 3.70

=====

| no. | calculated formation energy (kJ/mol of formula units) |
| --- | --- |
| 1 | 150 |
| 2 | 11 |
| 3 | 68 |
| 4 | 78 |
| 5 | 213 |
| 6 | 19 |
| 7 | 150 |
| 8 | 18 |
| 9 | 27 |